(1)
Pr3SiNCl | PBE | optimized geometry

Calculated values
The crystal system is monoclinic. The value obtained for the volume is 24.607 A^3/atom. The calculation puts the energy relative to the elements, uncorrected at -1.10 eV per atom.

Structure (extended XYZ):
```
12
Lattice="-0.6068 3.2345 -1.7013 -1.9639 -3.7388 -6.4077 -8.7226 2.0327 6.9758" Properties=species:S:1:pos:R:3 pbc="T T T"
Pr -6.0121 -0.8325 -1.4551
Pr -3.4537 -0.7790 -6.2995
Pr -2.5953 0.8973 -3.4187
Pr -5.2812 2.3608 0.3219
Pr -8.6980 0.6310 2.2854
Pr -7.8396 2.3074 5.1663
Si -8.0706 1.2906 -0.7179
Si -3.2228 0.2377 -0.4153
N -2.3057 -1.6388 -4.3100
N -8.9877 3.1671 3.1768
Cl -5.9552 1.5535 3.0609
Cl -5.3381 -0.0252 -4.1941
```

---

(2)
PrSmNCl | PBE | optimized geometry

Calculated values
The crystal system is trigonal. The value obtained for the volume is 20.827 A^3/atom. The calculation puts the energy relative to the elements, uncorrected at -1.53 eV per atom.

Structure (extended XYZ):
```
4
Lattice="3.6805 -0.0005 -0.0003 -1.8399 3.1877 0.0000 -1.8400 -1.0621 7.1014" Properties=species:S:1:pos:R:3 pbc="T T T"
Pr 0.3477 -0.2330 4.7895
Sm -1.4923 2.9546 0.3666
N -1.4923 0.8297 6.3156
Cl 2.1880 0.8293 2.5152
```

---

(3)
Pr3SnNCl | PBE | optimized geometry

Calculated values
The crystal system is monoclinic. The value obtained for the volume is 26.364 A^3/atom. The calculation puts the energy relative to the elements, uncorrected at -1.18 eV per atom.

Structure (extended XYZ):
```
12
Lattice="3.7255 0.0000 0.0000 0.0000 8.1330 -0.7283 0.0000 -4.0478 10.8037" Properties=species:S:1:pos:R:3 pbc="T T T"
Pr 0.9314 3.7994 4.9348
Pr 2.7941 6.8741 0.5899
Pr 2.7941 3.5534 1.1027
Pr 2.7941 0.2858 5.1405
Pr 0.9314 0.5318 8.9726
Pr 0.9314 -2.7890 9.4854
Sn 2.7941 2.7988 7.4494
Sn 0.9314 1.2864 2.6259
N 0.9314 5.2920 0.4193
N 2.7941 -1.2068 9.6560
Cl 0.9314 -1.4392 6.7285
Cl 2.7941 5.5243 3.3468
```

---

(4)
SrPrNCl | PBE | optimized geometry

Calculated values
The crystal system is trigonal. The value obtained for the volume is 22.260 A^3/atom. The calculation puts the energy relative to the elements, uncorrected at -1.41 eV per atom.

Structure (extended XYZ):
```
4
Lattice="-2.5543 -1.2210 2.4931 1.9759 -2.4797 -2.0442 6.1309 1.4671 4.1466" Properties=species:S:1:pos:R:3 pbc="T T T"
Sr 3.1317 -0.0062 3.7452
Pr 1.9676 -2.3788 -1.4642
N 5.7044 -0.4619 3.3037
Cl 0.4879 -1.5922 3.1132
```

---

(5)
TbPr2N2Cl2 | PBE | optimized geometry

Calculated values
The crystal system is tetragonal. The value obtained for the volume is 22.367 A^3/atom. The calculation puts the energy relative to the elements, uncorrected at -1.46 eV per atom.

Structure (extended XYZ):
```
7
Lattice="-2.8928 0.0647 -3.4860 -0.1062 -4.5292 0.0040 -4.3685 2.3742 6.6131" Properties=species:S:1:pos:R:3 pbc="T T T"
Tb 0.0000 0.0000 0.0000
Pr -4.7133 0.1140 3.9134
Pr -2.6541 -2.2043 -0.7823
N -0.0531 -2.2646 0.0020
N -1.4464 0.0324 -1.7430
Cl -2.1576 0.0522 1.7915
Cl -5.2099 -2.1425 1.3397
```

---

(6)
TbPrNCl | PBE | optimized geometry

Calculated values
The crystal system is trigonal. The value obtained for the volume is 20.269 A^3/atom. The calculation puts the energy relative to the elements, uncorrected at -1.56 eV per atom.

Structure (extended XYZ):
```
4
Lattice="3.6368 -0.0005 -0.0003 -1.8180 3.1498 0.0000 -1.8183 -1.0495 7.0786" Properties=species:S:1:pos:R:3 pbc="T T T"
Tb -1.4747 2.9195 0.3518
Pr 0.3435 -0.2303 4.7656
N -1.4747 0.8198 6.3882
Cl 2.1620 0.8195 2.4361
```

---

(7)
Pr2YN2Cl2 | PBE | optimized geometry

Calculated values
The crystal system is tetragonal. The value obtained for the volume is 22.160 A^3/atom. The calculation puts the energy relative to the elements, uncorrected at -1.48 eV per atom.

Structure (extended XYZ):
```
7
Lattice="-0.2944 0.7332 4.4359 -2.2196 -3.8896 0.4956 7.8877 -2.0726 -1.4222" Properties=species:S:1:pos:R:3 pbc="T T T"
Pr 5.3266 -2.9328 0.8383
Pr 0.0471 -2.2963 2.6710
Y 0.0000 0.0000 0.0000
N -1.1098 -1.9448 0.2478
N -0.1472 0.3666 2.2179
Cl 2.4353 -1.3409 0.3833
Cl 2.9384 -3.8881 3.1260
```

---

(8)
Pt2NCl | PBE | optimized geometry

Calculated values
The calculation puts the relative energy among the computed polymorphs at 91.5 kJ per mole of atoms. The crystal system is cubic. The value obtained for the volume is 13.869 A^3/atom. The calculation puts the energy relative to the elements, uncorrected at 1.53 eV per atom.

Structure (extended XYZ):
```
4
Lattice="3.1731 1.1675 2.6259 0.4478 4.1068 1.1225 -0.8794 1.2326 4.0042" Properties=species:S:1:pos:R:3 pbc="T T T"
N 0.0000 0.0000 0.0000
Pt 0.6854 1.6267 1.9382
Pt 2.0561 4.8802 5.8145
Cl 1.3707 3.2535 3.8763
```

---

(9)
PtN2Cl2 | PBE | optimized geometry

Calculated values
The calculation puts the relative energy among the computed polymorphs at 101.8 kJ per mole of atoms. The crystal system is monoclinic. The value obtained for the volume is 24.787 A^3/atom. The calculation puts the energy relative to the elements, uncorrected at 0.98 eV per atom.

Structure (extended XYZ):
```
10
Lattice="4.4136 0.0000 0.0000 0.0000 6.7577 0.0706 0.0000 2.0079 8.3317" Properties=species:S:1:pos:R:3 pbc="T T T"
Pt 0.0000 0.0000 0.0000
Pt 2.2068 1.0039 4.1658
N 3.3316 5.3569 0.7210
N 1.1248 2.4047 3.5154
N 1.0820 3.4087 7.6812
N 3.2888 6.3608 4.8868
Cl 1.6850 5.1695 0.7969
Cl 3.8918 2.5921 3.4396
Cl 2.7286 3.5960 7.6054
Cl 0.5218 6.1734 4.9627
```

---

(10)
PtN2Cl2 | PBE | optimized geometry

Calculated values
The calculation puts the relative energy among the computed polymorphs at 171.6 kJ per mole of atoms. The crystal system is tetragonal. The value obtained for the volume is 35.043 A^3/atom. The calculation puts the energy relative to the elements, uncorrected at 1.70 eV per atom.

Structure (extended XYZ):
```
10
Lattice="8.2850 0.0000 0.0000 0.0000 8.2850 0.0000 0.0000 0.0000 5.1052" Properties=species:S:1:pos:R:3 pbc="T T T"
Pt 0.0000 0.0000 0.0000
Pt 0.0000 0.0000 2.5526
N 6.5750 3.0359 0.0000
N 1.7100 5.2491 0.0000
N 3.0359 1.7100 0.0000
N 5.2491 6.5750 0.0000
Cl 6.3149 1.4898 0.0000
Cl 1.9701 6.7952 0.0000
Cl 1.4898 1.9701 0.0000
Cl 6.7952 6.3149 0.0000
```

---

(11)
PtN2Cl2 | PBE | optimized geometry

Calculated values
The calculation puts the relative energy among the computed polymorphs at 39.0 kJ per mole of atoms. The crystal system is tetragonal. The value obtained for the volume is 23.174 A^3/atom. The calculation puts the energy relative to the elements, uncorrected at 0.33 eV per atom.

Structure (extended XYZ):
```
5
Lattice="-1.3577 6.4821 -1.8410 -5.7894 -2.0831 -3.0648 -4.8037 2.5367 -0.3584" Properties=species:S:1:pos:R:3 pbc="T T T"
N -3.8576 2.2774 -1.9693
N -8.0932 4.6584 -3.2949
Pt 0.0000 0.0000 0.0000
Cl -4.8675 5.6092 -2.3261
Cl -7.0833 1.3266 -2.9381
```

---

(12)
PtN2Cl4 | PBE | optimized geometry

Calculated values
The calculation puts the relative energy among the computed polymorphs at 0.0 kJ per mole of atoms. The crystal system is monoclinic. The value obtained for the volume is 34.512 A^3/atom. The calculation puts the energy relative to the elements, uncorrected at 0.57 eV per atom.

Structure (extended XYZ):
```
14
Lattice="6.0479 -0.4597 -0.1907 -1.4239 5.8958 -0.1907 1.3598 1.5986 13.6917" Properties=species:S:1:pos:R:3 pbc="T T T"
N 0.8595 3.0525 4.0922
N 2.4288 4.8974 2.3722
N 5.1243 3.9822 9.2181
N 3.5550 2.1373 10.9381
Pt 0.6711 4.8026 3.2322
Pt 5.3127 2.2321 10.0781
Cl 1.1716 6.0677 5.0851
Cl -0.4973 4.1057 1.3793
Cl 4.8122 0.9670 8.2252
Cl 6.4811 2.9290 11.9310
Cl 5.5342 2.2597 4.7701
Cl 3.9611 0.4104 1.6944
Cl 0.4496 4.7750 8.5403
Cl 2.0227 6.6243 11.6159
```

---

(13)
PtN2Cl2 | PBE | optimized geometry

Calculated values
The calculation puts the relative energy among the computed polymorphs at 100.0 kJ per mole of atoms. The crystal system is triclinic. The value obtained for the volume is 27.572 A^3/atom. The calculation puts the energy relative to the elements, uncorrected at 0.96 eV per atom.

Structure (extended XYZ):
```
10
Lattice="4.8891 0.6983 -0.5553 0.6516 7.1118 0.4356 -1.1635 -1.8558 8.0443" Properties=species:S:1:pos:R:3 pbc="T T T"
Pt 4.0196 0.3642 5.3996
Pt 0.3577 5.5900 2.5251
N 4.4735 5.6799 5.7585
N -0.0963 0.2743 2.1661
N 2.9479 1.3635 4.3425
N 1.4293 4.5907 3.5821
Cl 0.6273 0.6031 7.3285
Cl 3.7499 5.3511 0.5962
Cl 0.7522 4.0667 5.2235
Cl 3.6251 1.8875 2.7011
```

---

(14)
Pt2NCl | PBE | optimized geometry

Calculated values
The calculation puts the relative energy among the computed polymorphs at 0.0 kJ per mole of atoms. The crystal system is tetragonal. The value obtained for the volume is 17.603 A^3/atom. The calculation puts the energy relative to the elements, uncorrected at 0.58 eV per atom.

Structure (extended XYZ):
```
8
Lattice="5.8190 0.0000 0.0000 0.0000 5.8190 0.0000 2.9095 2.9095 4.1590" Properties=species:S:1:pos:R:3 pbc="T T T"
N 2.9095 2.9095 0.0000
N 2.9095 5.8190 2.0795
Pt 3.7232 1.4547 1.0398
Pt 2.0958 4.3642 1.0398
Pt 4.3642 5.0053 3.1193
Pt 7.2737 6.6326 3.1193
Cl 0.0000 0.0000 0.0000
Cl 5.8190 2.9095 2.0795
```

---

(15)
PtN2Cl2 | PBE | optimized geometry

Calculated values
The calculation puts the relative energy among the computed polymorphs at 110.8 kJ per mole of atoms. The crystal system is tetragonal. The value obtained for the volume is 24.266 A^3/atom. The calculation puts the energy relative to the elements, uncorrected at 1.07 eV per atom.

Structure (extended XYZ):
```
10
Lattice="5.3613 0.0000 0.0000 0.0000 5.3613 0.0000 0.0000 0.0000 8.4420" Properties=species:S:1:pos:R:3 pbc="T T T"
N 4.0211 1.3404 0.0000
N 1.3404 1.3402 0.0000
N 1.3402 4.0209 0.0000
N 4.0209 4.0211 0.0000
Pt 0.0000 0.0000 0.0000
Pt 2.6807 2.6807 0.0000
Cl 3.3904 0.7098 4.2210
Cl 0.7098 1.9709 4.2210
Cl 1.9709 4.6516 4.2210
Cl 4.6516 3.3904 4.2210
```

---

(16)
PtN2Cl2 | PBE | optimized geometry

Calculated values
The calculation puts the relative energy among the computed polymorphs at 127.8 kJ per mole of atoms. The crystal system is triclinic. The value obtained for the volume is 22.195 A^3/atom. The calculation puts the energy relative to the elements, uncorrected at 1.25 eV per atom.

Structure (extended XYZ):
```
10
Lattice="5.6575 -0.1096 0.0005 -0.8816 7.7747 -1.8244 -1.7086 -5.7492 6.4166" Properties=species:S:1:pos:R:3 pbc="T T T"
Pt 0.0000 0.0000 0.0000
Pt -1.2951 1.0128 2.2961
N 3.1640 -0.4903 2.2507
N -0.0968 2.4061 2.3421
N -0.2759 -2.8999 4.7004
N 3.3431 4.8158 -0.1076
Cl 0.8659 2.4067 -0.3059
Cl 2.2013 -0.4908 4.8987
Cl 1.7030 -0.9094 1.4549
Cl 1.3643 2.8253 3.1379
```

---

(17)
PtN2Cl2 | PBE | optimized geometry

Calculated values
The calculation puts the relative energy among the computed polymorphs at 145.7 kJ per mole of atoms. The crystal system is tetragonal. The value obtained for the volume is 22.644 A^3/atom. The calculation puts the energy relative to the elements, uncorrected at 1.43 eV per atom.

Structure (extended XYZ):
```
20
Lattice="-7.9896 0.8857 4.8825 4.4109 -2.9718 7.7569 1.2374 4.8335 1.1481" Properties=species:S:1:pos:R:3 pbc="T T T"
Pt -1.1707 1.3737 6.8938
Pt 0.0000 0.0000 0.0000
Pt -1.7894 -1.0431 6.3197
Pt 0.6187 2.4167 0.5741
N -6.4306 2.6696 7.1072
N 4.0893 0.0778 6.6804
N -2.7271 -0.4105 4.6676
N -0.8516 -1.6756 7.9719
N -1.2598 0.1425 12.1728
N -1.0815 2.6048 1.6148
N -3.4910 -0.8540 7.3579
N -0.0877 -1.2321 5.2815
Cl -0.0925 0.6460 8.7953
Cl -2.2488 2.1014 4.9923
Cl 3.3281 -2.2436 5.8583
Cl -6.9068 0.1575 6.7812
Cl 0.7877 1.1558 5.7001
Cl -3.1290 1.5915 8.0875
Cl -1.9558 0.2161 1.1983
Cl -1.6229 -2.3022 11.4412
```

---

(18)
PtN2Cl2 | PBE | optimized geometry

Calculated values
The calculation puts the relative energy among the computed polymorphs at 0.0 kJ per mole of atoms. The crystal system is triclinic. The value obtained for the volume is 26.792 A^3/atom. The calculation puts the energy relative to the elements, uncorrected at -0.08 eV per atom.

Structure (extended XYZ):
```
10
Lattice="4.8867 -0.1267 -0.5153 -0.8280 6.4675 -0.3268 -1.9855 -3.6638 8.9535" Properties=species:S:1:pos:R:3 pbc="T T T"
Pt 0.0000 0.0000 0.0000
Pt -0.9928 -1.8319 4.4768
N 2.7017 3.7083 5.3297
N -0.6285 -1.0313 2.7817
N 2.4704 3.2951 6.3492
N -0.3972 -0.6180 1.7621
Cl 1.6596 1.4042 0.8251
Cl 0.4136 1.2728 7.2862
Cl -0.3610 2.9199 3.5790
Cl 2.4342 -0.2429 4.5324
```

---

(19)
PtN2Cl2 | PBE | optimized geometry

Calculated values
The calculation puts the relative energy among the computed polymorphs at 83.5 kJ per mole of atoms. The crystal system is monoclinic. The value obtained for the volume is 17.474 A^3/atom. The calculation puts the energy relative to the elements, uncorrected at 0.79 eV per atom.

Structure (extended XYZ):
```
10
Lattice="4.3361 0.0000 0.0000 0.0000 6.8395 -0.0548 0.0000 1.1681 5.8826" Properties=species:S:1:pos:R:3 pbc="T T T"
Pt 2.1680 0.5840 2.9413
Pt 0.0000 0.0000 0.0000
N 0.7847 1.2562 1.4887
N 2.9527 6.1673 1.3977
N 3.5514 6.7513 4.3390
N 1.3834 1.8402 4.4301
Cl 3.8701 2.1810 2.1165
Cl 1.7021 5.2425 0.7700
Cl 0.4660 5.8266 3.7113
Cl 2.6340 2.7650 5.0578
```

---

(20)
PtN3Cl | PBE | optimized geometry

Calculated values
The crystal system is cubic. The value obtained for the volume is 12.150 A^3/atom. The calculation puts the energy relative to the elements, uncorrected at 2.19 eV per atom.

Structure (extended XYZ):
```
5
Lattice="-1.5634 3.3531 -1.3289 -1.7292 -1.9679 -2.9310 -3.1653 -0.5811 2.2576" Properties=species:S:1:pos:R:3 pbc="T T T"
N -0.8646 -0.9840 -1.4655
N -1.5827 -0.2905 1.1288
N -0.7817 1.6766 -0.6645
Pt 0.0000 0.0000 0.0000
Cl -3.2290 0.4021 -1.0012
```